[1]
Compound: Sm3Ho4Sc5
Source: Alexandria via LeMat-Bulk
Functional: GGA-PBE
Structure: relaxed

extended XYZ file:
```
12
Lattice="7.671 -2.851 0.000 7.671 2.851 0.000 -4.714 0.000 8.071" Properties=species:S:1:pos:R:3 pbc="T T T"
Sm 0.000 0.000 0.000
Sm 0.657 0.000 5.919
Sm 9.971 0.000 2.152
Ho 3.961 0.000 0.959
Ho 3.732 0.000 4.494
Ho 6.896 0.000 3.577
Ho 6.667 0.000 7.112
Sc -2.383 0.000 5.638
Sc 0.868 0.000 2.877
Sc 7.671 0.000 0.000
Sc 9.760 0.000 5.194
Sc 13.010 0.000 2.433
```

**Theoretical density**: 6282 kg/m³
**Energy of formation from the pure elements**: 243 meV/atom

---

[2]
Compound: Sm6Ho5Sc2
Source: Alexandria via LeMat-Bulk
Functional: GGA-PBE
Structure: relaxed

extended XYZ file:
```
26
Lattice="11.378 0.000 0.000 0.000 20.256 0.000 0.000 0.000 3.564" Properties=species:S:1:pos:R:3 pbc="T T T"
Sm 0.920 3.148 0.000
Sm 1.914 17.875 1.782
Sm 2.461 11.232 1.782
Sm 3.228 1.104 1.782
Sm 3.775 7.747 1.782
Sm 4.769 13.276 0.000
Sm 6.609 6.980 0.000
Sm 7.603 12.509 1.782
Sm 8.151 19.152 1.782
Sm 8.917 9.024 1.782
Sm 9.465 2.381 1.782
Sm 10.459 17.108 0.000
Ho 0.000 0.000 0.000
Ho 0.661 8.535 0.000
Ho 1.652 14.601 0.000
Ho 4.037 4.473 0.000
Ho 5.028 18.663 0.000
Ho 5.689 10.128 0.000
Ho 6.350 1.593 0.000
Ho 7.342 15.783 0.000
Ho 9.726 5.655 0.000
Ho 10.718 11.721 0.000
Sc 1.288 5.823 1.782
Sc 4.401 15.951 1.782
Sc 6.977 4.306 1.782
Sc 10.090 14.434 1.782
```

**Theoretical density**: 7345 kg/m³
**Energy of formation from the pure elements**: 61 meV/atom

---

[3]
Compound: Sm4Ho3Sc5
Source: Alexandria via LeMat-Bulk
Functional: GGA-PBE
Structure: relaxed

extended XYZ file:
```
12
Lattice="7.738 -2.857 0.000 7.738 2.857 0.000 -4.619 0.000 8.097" Properties=species:S:1:pos:R:3 pbc="T T T"
Sm -0.700 0.000 3.639
Sm -0.815 0.000 7.170
Sm 11.671 0.000 0.927
Sm 11.557 0.000 4.458
Ho 2.324 0.000 2.111
Ho 7.738 0.000 0.000
Ho 8.533 0.000 5.986
Sc 0.000 0.000 0.000
Sc 2.216 0.000 5.174
Sc 5.423 0.000 2.413
Sc 5.433 0.000 5.684
Sc 8.641 0.000 2.923
```

**Theoretical density**: 6128 kg/m³
**Energy of formation from the pure elements**: 238 meV/atom

---

[4]
Compound: Sm5Ho4Sc2
Source: Alexandria via LeMat-Bulk
Functional: GGA-PBE
Structure: relaxed

extended XYZ file:
```
11
Lattice="11.904 -1.768 0.000 11.904 1.768 0.000 -2.744 0.000 8.470" Properties=species:S:1:pos:R:3 pbc="T T T"
Sm 0.000 0.000 0.000
Sm 6.210 0.000 4.894
Sm 8.793 0.000 0.304
Sm 12.271 0.000 8.166
Sm 14.853 0.000 3.576
Ho 3.263 0.000 6.881
Ho 9.712 0.000 5.664
Ho 11.351 0.000 2.806
Ho 17.801 0.000 1.589
Sc 0.574 0.000 5.315
Sc 20.489 0.000 3.156
```

**Theoretical density**: 6994 kg/m³
**Excess energy over the best structure of this formula in the dataset**: 76 meV per atom
**Energy of formation from the pure elements**: 162 meV/atom